Entry 1:
# Sm6Ag2Pt | Alexandria via LeMat-Bulk | PBE | relaxed
# Crystal system ... monoclinic
# Magnetization ... 0.0 Bohr magnetons per cell
# DFT formation energy ... -0.301 eV per atom
data_Sm6Ag2Pt
_chemical_formula_sum 'Sm12 Ag4 Pt2'
_symmetry_space_group_name_H-M 'P 1 21/c 1'
_symmetry_Int_Tables_number 14
_cell_length_a 6.4146
_cell_length_b 7.9827
_cell_length_c 12.1759
_cell_angle_alpha 90.00
_cell_angle_beta 121.70
_cell_angle_gamma 90.00
loop_
_symmetry_equiv_pos_as_xyz
'x,y,z'
'-x,-y,-z'
'-x,y+1/2,-z+1/2'
'x,-y+1/2,z+1/2'
loop_
_atom_site_label
_atom_site_type_symbol
_atom_site_fract_x
_atom_site_fract_y
_atom_site_fract_z
_atom_site_occupancy
Sm1 Sm 0.0993 0.1659 0.4482 1
Sm2 Sm 0.2983 0.7014 0.4416 1
Sm3 Sm 0.3999 0.0406 0.2570 1
Ag1 Ag 0.1799 0.1102 0.7657 1
Pt1 Pt 0.0000 0.0000 0.0000 1

---

Entry 2:
# Sm3Ag2Pt | Alexandria via LeMat-Bulk | PBE | relaxed
# Crystal system ... trigonal
# Energy relative to the lowest polymorph listed for this composition ... 0 meV/atom
# Magnetization ... 0.0 Bohr magnetons per cell
# DFT formation energy ... -0.573 eV per atom
data_Sm3Ag2Pt
_chemical_formula_sum 'Sm3 Ag2 Pt1'
_symmetry_space_group_name_H-M 'P -3 m 1'
_symmetry_Int_Tables_number 164
_symmetry_space_group_name_Hall '-P 3 2"'
_cell_length_a 5.1620
_cell_length_b 5.1620
_cell_length_c 6.3389
_cell_angle_alpha 90.00
_cell_angle_beta 90.00
_cell_angle_gamma 120.00
loop_
_atom_site_label
_atom_site_type_symbol
_atom_site_fract_x
_atom_site_fract_y
_atom_site_fract_z
_atom_site_occupancy
Sm1 Sm 0.0000 0.0000 0.0000 1
Sm2 Sm 0.3333 0.6667 0.6461 1
Ag1 Ag 0.3333 0.6667 0.1369 1
Pt1 Pt 0.0000 0.0000 0.5000 1

---

Entry 3:
# Sm6AgPt3 | Alexandria via LeMat-Bulk | PBE | relaxed
# Crystal system ... orthorhombic
# Magnetization ... 0.0 Bohr magnetons per cell
# DFT formation energy ... -0.689 eV per atom
data_Sm6AgPt3
_chemical_formula_sum 'Sm24 Ag4 Pt12'
_symmetry_space_group_name_H-M 'C m c 21'
_symmetry_Int_Tables_number 36
_cell_length_a 11.0254
_cell_length_b 14.2911
_cell_length_c 7.3287
_cell_angle_alpha 90.00
_cell_angle_beta 90.00
_cell_angle_gamma 90.00
loop_
_symmetry_equiv_pos_as_xyz
'x,y,z'
'-x,-y,z+1/2'
'-x,y,z'
'x,-y,z+1/2'
'x+1/2,y+1/2,z'
'-x+1/2,-y+1/2,z+1/2'
'-x+1/2,y+1/2,z'
'x+1/2,-y+1/2,z+1/2'
loop_
_atom_site_label
_atom_site_type_symbol
_atom_site_fract_x
_atom_site_fract_y
_atom_site_fract_z
_atom_site_occupancy
Sm1 Sm 0.0000 0.0084 0.0000 1
Sm2 Sm 0.0000 0.2342 0.3581 1
Sm3 Sm 0.1691 0.4715 0.4121 1
Sm4 Sm 0.1801 0.2774 0.9653 1
Ag1 Ag 0.0000 0.1697 0.7388 1
Pt1 Pt 0.0000 0.4023 0.1276 1
Pt2 Pt 0.1821 0.1077 0.2138 1

---

Entry 4:
# SmAgPt2 | Alexandria via LeMat-Bulk | PBE | relaxed
# Crystal system ... tetragonal
# Magnetization ... 0.0 Bohr magnetons per cell
# DFT formation energy ... -0.724 eV per atom
data_SmAgPt2
_chemical_formula_sum 'Sm1 Ag1 Pt2'
_symmetry_space_group_name_H-M 'P 4/m m m'
_symmetry_Int_Tables_number 123
_symmetry_space_group_name_Hall '-P 4 2'
_cell_length_a 4.2931
_cell_length_b 4.2931
_cell_length_c 4.1085
_cell_angle_alpha 90.00
_cell_angle_beta 90.00
_cell_angle_gamma 90.00
loop_
_atom_site_label
_atom_site_type_symbol
_atom_site_fract_x
_atom_site_fract_y
_atom_site_fract_z
_atom_site_occupancy
Sm1 Sm 0.0000 0.0000 0.0000 1
Ag1 Ag 0.5000 0.5000 0.0000 1
Pt1 Pt 0.0000 0.5000 0.5000 1

---

Entry 5:
# SmAg4Pt | Alexandria via LeMat-Bulk | PBE | relaxed
# Crystal system ... cubic
# Magnetization ... 0.0 Bohr magnetons per cell
# DFT formation energy ... -0.206 eV per atom
data_SmAg4Pt
_chemical_formula_sum 'Sm4 Ag16 Pt4'
_symmetry_space_group_name_H-M 'F -4 3 m'
_symmetry_Int_Tables_number 216
_symmetry_space_group_name_Hall 'F -4 2 3'
_cell_length_a 7.7610
_cell_length_b 7.7610
_cell_length_c 7.7610
_cell_angle_alpha 90.00
_cell_angle_beta 90.00
_cell_angle_gamma 90.00
loop_
_atom_site_label
_atom_site_type_symbol
_atom_site_fract_x
_atom_site_fract_y
_atom_site_fract_z
_atom_site_occupancy
Sm1 Sm 0.0000 0.0000 0.0000 1
Ag1 Ag 0.1246 0.1246 0.6246 1
Pt1 Pt 0.2500 0.2500 0.2500 1

---

Entry 6:
# Sm4Ag2Pt | Alexandria via LeMat-Bulk | PBE | relaxed
# Crystal system ... trigonal
# Magnetization ... 0.0 Bohr magnetons per cell
# DFT formation energy ... -0.385 eV per atom
data_Sm4Ag2Pt
_chemical_formula_sum 'Sm12 Ag6 Pt3'
_symmetry_space_group_name_H-M 'R -3 m'
_symmetry_Int_Tables_number 166
_symmetry_space_group_name_Hall '-R 3 2"'
_cell_length_a 5.1313
_cell_length_b 5.1313
_cell_length_c 25.2538
_cell_angle_alpha 90.00
_cell_angle_beta 90.00
_cell_angle_gamma 120.00
loop_
_atom_site_label
_atom_site_type_symbol
_atom_site_fract_x
_atom_site_fract_y
_atom_site_fract_z
_atom_site_occupancy
Sm1 Sm 0.0000 0.0000 0.1220 1
Sm2 Sm 0.0000 0.0000 0.3722 1
Ag1 Ag 0.0000 0.0000 0.2448 1
Pt1 Pt 0.0000 0.0000 0.0000 1

---

Entry 7:
# Sm3Ag2Pt3 | Alexandria via LeMat-Bulk | PBE | relaxed
# Crystal system ... hexagonal
# Magnetization ... 0.0 Bohr magnetons per cell
# DFT formation energy ... -0.799 eV per atom
data_Sm3Ag2Pt3
_chemical_formula_sum 'Sm6 Ag4 Pt6'
_symmetry_space_group_name_H-M 'P 63/m c m'
_symmetry_Int_Tables_number 193
_symmetry_space_group_name_Hall '-P 6c 2'
_cell_length_a 8.6496
_cell_length_b 8.6496
_cell_length_c 5.7756
_cell_angle_alpha 90.00
_cell_angle_beta 90.00
_cell_angle_gamma 120.00
loop_
_atom_site_label
_atom_site_type_symbol
_atom_site_fract_x
_atom_site_fract_y
_atom_site_fract_z
_atom_site_occupancy
Sm1 Sm 0.0000 0.3009 0.2500 1
Ag1 Ag 0.3333 0.6667 0.0000 1
Pt1 Pt 0.0000 0.3637 0.7500 1

---

Entry 8:
# Sm8Ag3Pt2 | Alexandria via LeMat-Bulk | PBE | relaxed
# Crystal system ... monoclinic
# Magnetization ... 0.0 Bohr magnetons per cell
# DFT formation energy ... -0.395 eV per atom
data_Sm8Ag3Pt2
_chemical_formula_sum 'Sm16 Ag6 Pt4'
_symmetry_space_group_name_H-M 'C 1 2/m 1'
_symmetry_Int_Tables_number 12
_cell_length_a 15.8320
_cell_length_b 7.5786
_cell_length_c 6.3929
_cell_angle_alpha 90.00
_cell_angle_beta 99.90
_cell_angle_gamma 90.00
loop_
_symmetry_equiv_pos_as_xyz
'x,y,z'
'-x,-y,-z'
'-x,y,-z'
'x,-y,z'
'x+1/2,y+1/2,z'
'-x+1/2,-y+1/2,-z'
'-x+1/2,y+1/2,-z'
'x+1/2,-y+1/2,z'
loop_
_atom_site_label
_atom_site_type_symbol
_atom_site_fract_x
_atom_site_fract_y
_atom_site_fract_z
_atom_site_occupancy
Sm1 Sm 0.0738 0.0000 0.3175 1
Sm2 Sm 0.1393 0.2464 0.8681 1
Sm3 Sm 0.1865 0.5000 0.3759 1
Ag1 Ag 0.0000 0.3246 0.5000 1
Ag2 Ag 0.0000 0.5000 0.0000 1
Pt1 Pt 0.2322 0.0000 0.1792 1